The following is a DFT calculation (PBE-GGA) of a relaxed structure of MgB2P.

Computed properties:
spin magnetization: 0.0 μB/cell
total energy: -41.5 eV per cell
formation energy from the elements: -0.0985 eV/atom
polymorph energy (0 for the lowest one): 0.00 eV per formula unit

Structure (CIF):
```
data_MgB2P
_chemical_formula_sum 'Mg2 B4 P2'
_cell_length_a 4.2679
_cell_length_b 4.7435
_cell_length_c 6.0695
_cell_angle_alpha 81.46
_cell_angle_beta 70.04
_cell_angle_gamma 89.41
_symmetry_space_group_name_H-M 'P 1'
_symmetry_Int_Tables_number 1
_symmetry_space_group_name_Hall 'P 1'
loop_
_atom_site_label
_atom_site_type_symbol
_atom_site_fract_x
_atom_site_fract_y
_atom_site_fract_z
Mg1 Mg 0.0000 0.0000 0.0000
Mg2 Mg 0.2968 0.1352 0.4204
B1 B 0.1462 0.6517 0.3508
B2 B 0.5430 0.6583 0.3438
B3 B 0.7735 0.4519 0.4958
B4 B 0.7801 0.8225 0.4692
P1 P 0.6406 0.0826 0.7114
P2 P 0.9481 0.4827 0.1358
```